Here is crystalline MnCrNi4 at its relaxed geometry from the Alexandria database. Energies are from GGA-PBE.

Values from the calculation:
ΔE_f: 2.9 eV/f.u.
crystal system: tetragonal
DFT total energy: -6.504 eV/atom
M_tot: 0.39 μB per atom

Cell: 6.108 6.108 8.424 Å, 90.00 90.00 90.00°
Space group I4_1/a (No. 88, origin choice 2)
One atom of each set of equivalent atoms:
1 Mn 0.000 0.250 0.125 (multiplicity 4)
2 Cr 0.000 0.250 0.625 (multiplicity 4)
3 Ni 0.131 0.103 0.384 (multiplicity 16)

Here is crystalline NaTe2MoN at its relaxed geometry from the Alexandria database. Energies are from GGA-PBE.

Values from the calculation:
relative energy among the computed polymorphs: 1652.5 meV per atom
crystal system: tetragonal
DFT total energy: -3.732 eV/atom
M_tot: 1.22 μB per atom
ΔE_f (raw): 1620.0 meV per atom

Cell: 5.537 5.537 4.139 Å, 90.00 90.00 90.00°
Space group P4/mmm (No. 123)
One atom of each set of equivalent atoms:
1 Na 0.000 0.000 0.000 (multiplicity 1)
2 Te 0.000 0.500 0.000 (multiplicity 2)
3 Mo 0.500 0.500 0.500 (multiplicity 1)
4 N 0.000 0.000 0.500 (multiplicity 1)

Here is crystalline CsBeSnPd2 at its relaxed geometry from the Alexandria database. Energies are from GGA-PBE.

Values from the calculation:
ΔE_f: 1.8 eV/f.u.
crystal system: tetragonal
DFT total energy: -3.442 eV/atom
M_tot: 0.00 μB per atom

Cell: 5.307 5.307 4.719 Å, 90.00 90.00 90.00°
Space group P4/mmm (No. 123)
One atom of each set of equivalent atoms:
1 Cs 0.000 0.000 0.000 (multiplicity 1)
2 Be 0.500 0.500 0.000 (multiplicity 1)
3 Sn 0.500 0.500 0.500 (multiplicity 1)
4 Pd 0.000 0.500 0.500 (multiplicity 2)

Here is crystalline TlIrSe2 at its relaxed geometry from the Alexandria database. Energies are from GGA-PBE.

Values from the calculation:
relative energy among the computed polymorphs: 168.2 meV per atom
crystal system: monoclinic
DFT total energy: -4.689 eV/atom
M_tot: 0.00 μB per atom
ΔE_f (raw): -139.6 meV per atom

Cell: 11.524 3.700 5.013 Å, 90.00 111.93 90.00°
Space group Cm (No. 8)
One atom of each set of equivalent atoms:
1 Tl 0.000 0.000 0.000 (multiplicity 2)
2 Ir 0.245 0.000 0.974 (multiplicity 2)
3 Se 0.174 0.500 0.624 (multiplicity 2)
4 Se 0.315 0.500 0.325 (multiplicity 2)

Here is crystalline MgGaPb3 at its relaxed geometry from the Alexandria database. Energies are from GGA-PBE.

Values from the calculation:
relative energy among the computed polymorphs: 0.0 meV per atom
ΔE_f: 1.9 eV/f.u.
crystal system: cubic
DFT total energy: -2.779 eV/atom
M_tot: 0.00 μB per atom

Cell: 5.533 5.533 5.533 Å, 90.00 90.00 90.00°
Space group Pm-3m (No. 221)
One atom of each set of equivalent atoms:
1 Mg 0.000 0.000 0.000 (multiplicity 1)
2 Ga 0.500 0.500 0.500 (multiplicity 1)
3 Pb 0.000 0.500 0.500 (multiplicity 3)

Here is crystalline MnCo2Au at its relaxed geometry from the Alexandria database. Energies are from GGA-PBE.

Values from the calculation:
ΔE_f: 2.4 eV/f.u.
crystal system: tetragonal
DFT total energy: -6.059 eV/atom
M_tot: 0.47 μB per atom

Cell: 6.527 6.527 5.148 Å, 90.00 90.00 90.00°
Space group I-42d (No. 122)
One atom of each set of equivalent atoms:
1 Mn 0.000 0.000 0.000 (multiplicity 4)
2 Co 0.211 0.250 0.125 (multiplicity 8)
3 Au 0.000 0.000 0.500 (multiplicity 4)

Here is crystalline Li3CaGa3 at its relaxed geometry from the Alexandria database. Energies are from GGA-PBE.

Values from the calculation:
relative energy among the computed polymorphs: 0.0 meV per atom
ΔE_f: -1.6 eV/f.u.
crystal system: trigonal
DFT total energy: -2.633 eV/atom
M_tot: 0.00 μB per atom

Cell: 7.8630 7.8630 15.3220 Å, 90.00 90.00 120.00°
Space group R-3 (No. 148, hexagonal axes)
One atom of each set of equivalent atoms:
1 Li 0.0153 0.7731 0.4304 (multiplicity 18)
2 Ca 0.0000 0.0000 0.2416 (multiplicity 6)
3 Ga 0.0235 0.7975 0.9297 (multiplicity 18)

Here is crystalline PrHo2Ge2 at its relaxed geometry from the Alexandria database. Energies are from GGA-PBE.

Values from the calculation:
ΔE_f: -2.9 eV/f.u.
crystal system: monoclinic
DFT total energy: -5.224 eV/atom
M_tot: 0.00 μB per atom

Cell: 5.696 4.590 10.754 Å, 90.00 101.79 90.00°
Space group P2_1/m (No. 11)
One atom of each set of equivalent atoms:
1 Pr 0.079 0.250 0.281 (multiplicity 2)
2 Ho 0.247 0.250 0.957 (multiplicity 2)
3 Ho 0.391 0.250 0.624 (multiplicity 2)
4 Ge 0.176 0.750 0.476 (multiplicity 2)
5 Ge 0.277 0.750 0.121 (multiplicity 2)

Here is crystalline AlHgRu4 at its relaxed geometry from the Alexandria database. Energies are from GGA-PBE.

Values from the calculation:
ΔE_f: 2.9 eV/f.u.
crystal system: cubic
DFT total energy: -6.370 eV/atom
M_tot: 0.38 μB per atom

Cell: 7.295 7.295 7.295 Å, 90.00 90.00 90.00°
Space group F-43m (No. 216)
One atom of each set of equivalent atoms:
1 Al 0.000 0.000 0.000 (multiplicity 4)
2 Hg 0.250 0.250 0.750 (multiplicity 4)
3 Ru 0.125 0.125 0.375 (multiplicity 16)

Here is crystalline AcNd2Sm4 at its relaxed geometry from the Alexandria database. Energies are from GGA-PBE.

Values from the calculation:
relative energy among the computed polymorphs: 0.0 meV per atom
ΔE_f: 0.2 eV/f.u.
crystal system: trigonal
DFT total energy: -4.620 eV/atom
M_tot: 0.00 μB per atom

Cell: 3.7078 3.7078 62.8685 Å, 90.00 90.00 120.00°
Space group R-3m (No. 166, hexagonal axes)
One atom of each set of equivalent atoms:
1 Ac 0.0000 0.0000 0.0000 (multiplicity 3)
2 Nd 0.0000 0.0000 0.4295 (multiplicity 6)
3 Sm 0.0000 0.0000 0.1434 (multiplicity 6)
4 Sm 0.0000 0.0000 0.2840 (multiplicity 6)

Here is crystalline BeCo3B2 at its relaxed geometry from the Alexandria database. Energies are from GGA-PBE.

Values from the calculation:
ΔE_f: -1.8 eV/f.u.
crystal system: tetragonal
DFT total energy: -6.700 eV/atom
M_tot: 0.00 μB per atom

Cell: 2.508 2.508 7.572 Å, 90.00 90.00 90.00°
Space group P4/mmm (No. 123)
One atom of each set of equivalent atoms:
1 Be 0.000 0.000 0.000 (multiplicity 1)
2 Co 0.500 0.500 0.181 (multiplicity 2)
3 Co 0.500 0.500 0.500 (multiplicity 1)
4 B 0.000 0.000 0.328 (multiplicity 2)

Here is crystalline LiNdThOs at its relaxed geometry from the Alexandria database. Energies are from GGA-PBE.

Values from the calculation:
ΔE_f: -0.4 eV/f.u.
crystal system: cubic
DFT total energy: -6.422 eV/atom
M_tot: 0.00 μB per atom

Cell: 7.183 7.183 7.183 Å, 90.00 90.00 90.00°
Space group F-43m (No. 216)
One atom of each set of equivalent atoms:
1 Li 0.000 0.000 0.000 (multiplicity 4)
2 Nd 0.250 0.250 0.250 (multiplicity 4)
3 Th 0.250 0.250 0.750 (multiplicity 4)
4 Os 0.000 0.000 0.500 (multiplicity 4)

Here is crystalline Y5HoEr7 at its relaxed geometry from the Alexandria database. Energies are from GGA-PBE.

Values from the calculation:
ΔE_f: 3.6 eV/f.u.
crystal system: orthorhombic
DFT total energy: -5.016 eV/atom
M_tot: 0.00 μB per atom

Cell: 6.696 11.047 11.476 Å, 90.00 90.00 90.00°
Space group Imm2 (No. 44)
One atom of each set of equivalent atoms:
1 Y 0.000 0.000 0.000 (multiplicity 2)
2 Y 0.231 0.276 0.999 (multiplicity 8)
3 Ho 0.000 0.500 0.803 (multiplicity 2)
4 Er 0.000 0.000 0.499 (multiplicity 2)
5 Er 0.000 0.170 0.749 (multiplicity 4)
6 Er 0.000 0.171 0.250 (multiplicity 4)
7 Er 0.000 0.500 0.194 (multiplicity 2)
8 Er 0.000 0.500 0.498 (multiplicity 2)

Here is crystalline PmH6Pd8 at its relaxed geometry from the Alexandria database. Energies are from GGA-PBE.

Values from the calculation:
crystal system: triclinic
DFT total energy: -4.718 eV/atom
M_tot: 0.00 μB per atom

Cell: 4.090 6.456 6.915 Å, 106.03 90.10 108.46°
Space group P-1 (No. 2)
One atom of each set of equivalent atoms:
1 Pm 0.000 0.000 0.000 (multiplicity 1)
2 H 0.057 0.166 0.387 (multiplicity 2)
3 H 0.330 0.598 0.712 (multiplicity 2)
4 H 0.363 0.775 0.279 (multiplicity 2)
5 Pd 0.114 0.230 0.672 (multiplicity 2)
6 Pd 0.223 0.444 0.331 (multiplicity 2)
7 Pd 0.330 0.660 0.998 (multiplicity 2)
8 Pd 0.444 0.891 0.663 (multiplicity 2)

Here is crystalline HgAsPdI2 at its relaxed geometry from the Alexandria database. Energies are from GGA-PBE.

Values from the calculation:
crystal system: tetragonal
DFT total energy: -2.207 eV/atom
M_tot: 0.48 μB per atom
ΔE_f (raw): 442.3 meV per atom

Cell: 5.553 5.553 5.310 Å, 90.00 90.00 90.00°
Space group P4/mmm (No. 123)
One atom of each set of equivalent atoms:
1 Hg 0.000 0.000 0.000 (multiplicity 1)
2 As 0.500 0.500 0.000 (multiplicity 1)
3 Pd 0.000 0.000 0.500 (multiplicity 1)
4 I 0.000 0.500 0.500 (multiplicity 2)

Here is crystalline MgAsAu at its relaxed geometry from the Alexandria database. Energies are from GGA-PBE.

Values from the calculation:
ΔE_f: -0.9 eV/f.u.
crystal system: triclinic
DFT total energy: -3.471 eV/atom
M_tot: 0.00 μB per atom

Cell: 4.548 4.574 7.483 Å, 76.95 89.93 60.88°
Space group P1 (No. 1)
One atom of each set of equivalent atoms:
1 Mg 0.000 0.000 0.000 (multiplicity 1)
2 Mg 0.442 0.110 0.477 (multiplicity 1)
3 As 0.103 0.787 0.386 (multiplicity 1)
4 As 0.643 0.725 0.843 (multiplicity 1)
5 Au 0.289 0.421 0.811 (multiplicity 1)
6 Au 0.620 0.750 0.206 (multiplicity 1)

Here is crystalline MgRuCl at its relaxed geometry from the Alexandria database. Energies are from GGA-PBE.

Values from the calculation:
relative energy among the computed polymorphs: 242.0 meV per atom
crystal system: hexagonal
DFT total energy: -4.005 eV/atom
M_tot: 0.04 μB per atom
ΔE_f (raw): 233.9 meV per atom

Cell: 4.2352 4.2352 3.1703 Å, 90.00 90.00 120.00°
Space group P-6m2 (No. 187)
One atom of each set of equivalent atoms:
1 Mg 0.0000 0.0000 0.0000 (multiplicity 1)
2 Ru 0.6667 0.3333 0.5000 (multiplicity 1)
3 Cl 0.3333 0.6667 0.5000 (multiplicity 1)

Here is crystalline TiCdS2N at its relaxed geometry from the Alexandria database. Energies are from GGA-PBE.

Values from the calculation:
relative energy among the computed polymorphs: 1317.2 meV per atom
crystal system: tetragonal
DFT total energy: -3.975 eV/atom
M_tot: 0.00 μB per atom
ΔE_f (raw): 1102.7 meV per atom

Cell: 4.894 4.894 4.060 Å, 90.00 90.00 90.00°
Space group P4/mmm (No. 123)
One atom of each set of equivalent atoms:
1 Ti 0.000 0.000 0.000 (multiplicity 1)
2 Cd 0.500 0.500 0.500 (multiplicity 1)
3 S 0.000 0.500 0.500 (multiplicity 2)
4 N 0.500 0.500 0.000 (multiplicity 1)

Here is crystalline Y2Sc2Cd at its relaxed geometry from the Alexandria database. Energies are from GGA-PBE.

Values from the calculation:
relative energy among the computed polymorphs: 0.0 meV per atom
ΔE_f: 0.2 eV/f.u.
crystal system: tetragonal
DFT total energy: -5.268 eV/atom
M_tot: 0.00 μB per atom

Cell: 7.507 7.507 4.968 Å, 90.00 90.00 90.00°
Space group P4/mbm (No. 127)
One atom of each set of equivalent atoms:
1 Y 0.159 0.341 0.000 (multiplicity 4)
2 Sc 0.142 0.642 0.500 (multiplicity 4)
3 Cd 0.000 0.000 0.500 (multiplicity 2)

Here is crystalline La5Fe at its relaxed geometry from the Alexandria database. Energies are from GGA-PBE.

Values from the calculation:
relative energy among the computed polymorphs: 141.3 meV per atom
ΔE_f: 1.4 eV/f.u.
crystal system: hexagonal
DFT total energy: -5.281 eV/atom
M_tot: 0.28 μB per atom

Cell: 6.2866 6.2866 5.4746 Å, 90.00 90.00 120.00°
Space group P-62m (No. 189)
One atom of each set of equivalent atoms:
1 La 0.0000 0.7068 0.0000 (multiplicity 3)
2 La 0.3333 0.6667 0.5000 (multiplicity 2)
3 Fe 0.0000 0.0000 0.5000 (multiplicity 1)